Entry a
## Ca2MgZn (PBE-GGA)

Data for a relaxed structure of Ca2MgZn.

a b c (Å): 4.8097 4.8097 12.5504
angles (deg): 90.00 90.00 120.00
Last column: nearest neighbours and their distance in Å.
Fractional coordinates of all 8 atoms:
Ca: 0.3333 0.6667 0.6054  3 Mg 3.32, 3 Zn 3.32, 1 Ca 3.63
Ca: 0.6667 0.3333 0.1054  3 Mg 3.32, 3 Zn 3.32, 1 Ca 3.63
Ca: 0.6667 0.3333 0.3946  3 Mg 3.32, 3 Zn 3.32, 1 Ca 3.63
Ca: 0.3333 0.6667 0.8946  3 Mg 3.32, 3 Zn 3.32, 1 Ca 3.63
Mg: 0.3333 0.6667 0.2500  3 Zn 2.78
Mg: 0.6667 0.3333 0.7500  3 Zn 2.78
Zn: 0.0000 0.0000 0.2500  3 Mg 2.78
Zn: 0.0000 0.0000 0.7500  3 Mg 2.78

Calculated volume = 31.4 Å³/atom
Symmetry = No. 194

---

Entry b
## Ca2MgZn (PBE-GGA)

Data for a relaxed structure of Ca2MgZn.

a b c (Å): 5.3995 5.3986 3.8282
angles (deg): 90.00 90.00 90.16
Last column: nearest neighbours and their distance in Å.
Fractional coordinates of all 4 atoms:
Mg: 0.5000 0.0000 0.5000  8 Ca 3.31
Zn: 0.0000 0.5000 0.5000  8 Ca 3.31
Ca: 0.0000 0.0000 0.0000  4 Zn 3.31, 4 Mg 3.31
Ca: 0.5000 0.5000 0.0000  4 Mg 3.31, 4 Zn 3.31

Calculated volume = 27.9 Å³/atom
Symmetry = No. 65

---

Entry c
## Ca2MgZn (PBE-GGA)

Data for a relaxed structure of Ca2MgZn.

a b c (Å): 10.0457 10.0457 10.0457
angles (deg): 21.93 21.93 21.93
Last column: nearest neighbours and their distance in Å.
Fractional coordinates of all 4 atoms:
Ca: 0.0192 0.0192 0.0192  3 Zn 3.06
Ca: 0.2405 0.2405 0.2405  3 Mg 3.48, 6 Ca 3.82
Mg: 0.4823 0.4823 0.4823  3 Zn 2.78
Zn: 0.7581 0.7581 0.7581  3 Mg 2.78, 3 Ca 3.06

Calculated volume = 31.0 Å³/atom
Symmetry = No. 160

---

entry b has the most favorable energy; the next structure is 0.083 eV/atom above.

---

Entry a
## Ca2MgZn (PBE-GGA)

Data for a relaxed structure of Ca2MgZn.

a b c (Å): 3.7620 4.7506 14.3881
angles (deg): 90.00 90.00 90.00
Last column: nearest neighbours and their distance in Å.
Fractional coordinates of all 8 atoms:
Ca: 0.5000 0.5000 0.1939  2 Zn 3.11
Ca: 0.0000 0.0000 0.8061  2 Zn 3.11
Ca: 0.5000 0.0000 0.4124  5 Zn 3.10-3.19
Ca: 0.0000 0.5000 0.5876  5 Zn 3.10-3.19
Mg: 0.5000 0.0000 0.0161  4 Mg 3.07
Mg: 0.0000 0.5000 0.9839  4 Mg 3.07
Zn: 0.0000 0.5000 0.3661  7 Ca 3.10-3.19
Zn: 0.5000 0.0000 0.6339  7 Ca 3.10-3.19

Calculated volume = 32.1 Å³/atom
Symmetry = No. 59

---

Entry b
## Ca2MgZn (PBE-GGA)

Data for a relaxed structure of Ca2MgZn.

a b c (Å): 6.5213 6.5213 6.5213
angles (deg): 147.57 130.10 60.77
Last column: nearest neighbours and their distance in Å.
Fractional coordinates of all 4 atoms:
Mg: 0.4571 0.4571 0.0000  2 Zn 2.82
Zn: 0.2655 0.7655 0.5000  2 Mg 2.82, 2 Ca 3.14
Ca: 0.0377 0.0377 0.0000  2 Zn 3.14, 4 Mg 3.42
Ca: 0.7397 0.2397 0.5000  4 Zn 3.31, 4 Ca 3.57-3.64, 4 Mg 3.66-3.68

Calculated volume = 28.2 Å³/atom
Symmetry = No. 44

---

Entry c
## Ca2MgZn (PBE-GGA)

Data for a relaxed structure of Ca2MgZn.

a b c (Å): 9.1767 9.1767 9.1767
angles (deg): 155.83 34.26 156.10
Last column: nearest neighbours and their distance in Å.
Fractional coordinates of all 4 atoms:
Ca: 0.3321 0.0000 0.3321  1 Zn 2.95
Ca: 0.6679 0.0000 0.6679  1 Zn 2.95
Mg: 0.0000 0.0000 0.0000  4 Zn 2.70
Zn: 0.5000 0.0000 0.5000  4 Mg 2.70, 2 Ca 2.95

Calculated volume = 32.0 Å³/atom
Symmetry = No. 71

---

entry b has the most favorable energy; the next structure is 0.132 eV/atom above.

---

Entry a
## Ca2Mg4Zn (PBE-GGA)

Data for a relaxed structure of Ca2Mg4Zn.

a b c (Å): 9.2843 9.2843 9.2843
angles (deg): 148.81 148.81 44.69
Last column: nearest neighbours and their distance in Å.
Fractional coordinates of all 7 atoms:
Ca: 0.3446 0.3446 0.0000  9 Mg 3.31-3.65
Ca: 0.6554 0.6554 0.0000  9 Mg 3.31-3.65
Mg: 0.5000 0.0000 0.5000  2 Zn 2.50
Mg: 0.0000 0.5000 0.5000  2 Zn 2.50
Mg: 0.1517 0.1517 0.0000  1 Zn 2.60
Mg: 0.8483 0.8483 0.0000  1 Zn 2.60
Zn: 0.0000 0.0000 0.0000  6 Mg 2.50-2.60

Calculated volume = 30.6 Å³/atom
Symmetry = No. 139

---

Entry b
## Ca2Mg4Zn (PBE-GGA)

Data for a relaxed structure of Ca2Mg4Zn.

a b c (Å): 8.0682 8.0682 8.0682
angles (deg): 38.10 38.10 38.10
Last column: nearest neighbours and their distance in Å.
Fractional coordinates of all 7 atoms:
Ca: 0.2862 0.2862 0.2862  3 Zn 3.22, 8 Mg 3.28-3.60
Ca: 0.7138 0.7138 0.7138  3 Zn 3.22, 8 Mg 3.28-3.60
Mg: 0.1328 0.1328 0.1328  1 Zn 2.98, 3 Mg 3.12
Mg: 0.8672 0.8672 0.8672  1 Zn 2.98, 3 Mg 3.12
Mg: 0.4356 0.4356 0.4356  4 Mg 2.89-3.12
Mg: 0.5644 0.5644 0.5644  4 Mg 2.89-3.12
Zn: 0.0000 0.0000 0.0000  2 Mg 2.98, 6 Ca 3.22

Calculated volume = 25.6 Å³/atom
Symmetry = No. 166

---

entry b has the most favorable energy; the next structure is 0.203 eV/atom above.

---

Entry a
## Ca2Mg4Zn (PBE-GGA)

Data for a relaxed structure of Ca2Mg4Zn.

a b c (Å): 6.6611 6.6611 6.6611
angles (deg): 116.78 116.78 95.68
Last column: nearest neighbours and their distance in Å.
Fractional coordinates of all 7 atoms:
Ca: 0.7500 0.2500 0.5000  8 Mg 3.34
Ca: 0.2500 0.7500 0.5000  8 Mg 3.34
Mg: 0.7190 0.7190 0.4379  1 Zn 2.78, 2 Mg 3.06
Mg: 0.2810 0.2810 0.5621  1 Zn 2.78, 2 Mg 3.06
Mg: 0.7190 0.2810 0.0000  1 Zn 2.78, 2 Mg 3.06
Mg: 0.2810 0.7190 0.0000  1 Zn 2.78, 2 Mg 3.06
Zn: 0.0000 0.0000 0.0000  4 Mg 2.78

Calculated volume = 31.1 Å³/atom
Symmetry = No. 139

---

Entry b
## Ca2Mg4Zn (PBE-GGA)

Data for a relaxed structure of Ca2Mg4Zn.

a b c (Å): 9.4136 9.4136 9.4136
angles (deg): 136.00 136.00 63.99
Last column: nearest neighbours and their distance in Å.
Fractional coordinates of all 14 atoms:
Mg: 0.9799 0.4799 0.8091  2 Zn 2.93, 4 Mg 3.07-3.25
Mg: 0.6708 0.1708 0.1909  2 Zn 2.93, 4 Mg 3.07-3.25
Mg: 0.1708 0.9799 0.5000  2 Zn 2.93, 4 Mg 3.07-3.25
Mg: 0.4799 0.6708 0.5000  2 Zn 2.93, 4 Mg 3.07-3.25
Mg: 0.5201 0.3292 0.5000  2 Zn 2.93, 4 Mg 3.07-3.25
Mg: 0.8292 0.0201 0.5000  2 Zn 2.93, 4 Mg 3.07-3.25
Mg: 0.3292 0.8292 0.8091  2 Zn 2.93, 4 Mg 3.07-3.25
Mg: 0.0201 0.5201 0.1909  2 Zn 2.93, 4 Mg 3.07-3.25
Zn: 0.7500 0.7500 0.0000  8 Mg 2.93
Zn: 0.2500 0.2500 0.0000  8 Mg 2.93
Ca: 0.6665 0.1665 0.8330  6 Mg 3.31-3.59, 1 Ca 3.32
Ca: 0.3335 0.8335 0.1670  6 Mg 3.31-3.59, 1 Ca 3.32
Ca: 0.8335 0.6665 0.5000  6 Mg 3.31-3.59, 1 Ca 3.32
Ca: 0.1665 0.3335 0.5000  6 Mg 3.31-3.59, 1 Ca 3.32

Calculated volume = 28.4 Å³/atom
Symmetry = No. 140

---

Entry c
## Ca2Mg4Zn (PBE-GGA)

Data for a relaxed structure of Ca2Mg4Zn.

a b c (Å): 7.7478 7.7478 7.7478
angles (deg): 101.92 101.92 125.94
Last column: nearest neighbours and their distance in Å.
Fractional coordinates of all 7 atoms:
Ca: 0.7500 0.2500 0.5000  4 Mg 3.33, 2 Ca 3.52
Ca: 0.2500 0.7500 0.5000  4 Mg 3.33, 2 Ca 3.52
Mg: 0.5000 0.2895 0.7895  2 Mg 2.91
Mg: 0.5000 0.7105 0.2105  2 Mg 2.91
Mg: 0.7105 0.5000 0.2105  2 Mg 2.91
Mg: 0.2895 0.5000 0.7895  2 Mg 2.91
Zn: 0.0000 0.0000 0.0000  8 Mg 4.08

Calculated volume = 47.9 Å³/atom
Symmetry = No. 139

---

entry b has the most favorable energy; the next structure is 0.145 eV/atom above.